--- one ---
The following is a PBE calculation of crystalline LaPtPb2 at its relaxed geometry, from Alexandria via LeMat-Bulk.

abc: 5.3040 5.3040 5.3040
angles: 60.00 60.00 60.00
Fractional coordinates of all 4 atoms:
La: 0.5000 0.5000 0.5000
Pb: 0.0000 0.0000 0.0000
Pb: 0.2500 0.2500 0.2500
Pt: 0.7500 0.7500 0.7500

Values from the calculation:
Calculated volume ... 26.4 Å³ per atom
Magnetic moment ... 0.000 μB per atom

=====

--- two ---
The following is a PBE calculation of crystalline LaPtPb2 at its relaxed geometry, from Alexandria via LeMat-Bulk.

abc: 5.2544 5.2544 5.2544
angles: 60.00 60.00 60.00
Fractional coordinates of all 4 atoms:
Pb: 0.2500 0.2500 0.2500
Pb: 0.7500 0.7500 0.7500
Pt: 0.5000 0.5000 0.5000
La: 0.0000 0.0000 0.0000

Values from the calculation:
Calculated volume ... 25.6 Å³ per atom
Magnetic moment ... 0.000 μB per atom

=====

--- three ---
The following is a PBE calculation of crystalline LaPtPb2 at its relaxed geometry, from Alexandria via LeMat-Bulk.

abc: 4.0109 4.4499 6.7464
angles: 70.75 90.00 90.00
Fractional coordinates of all 4 atoms:
La: 0.5000 0.7281 0.6688
Pb: 0.0000 0.0494 0.0274
Pb: 0.5000 0.4473 0.2306
Pt: 0.0000 0.2752 0.5732

Values from the calculation:
Calculated volume ... 28.4 Å³ per atom
Magnetic moment ... 0.000 μB per atom

=====

--- four ---
The following is a PBE calculation of crystalline LaPtPb2 at its relaxed geometry, from Alexandria via LeMat-Bulk.

abc: 3.6828 3.6828 8.2267
angles: 90.00 90.00 89.96
Fractional coordinates of all 4 atoms:
La: 0.5000 0.5000 0.6935
Pb: 0.0000 0.0000 0.0141
Pb: 0.5000 0.5000 0.2788
Pt: 0.0000 0.0000 0.5135

Values from the calculation:
Calculated volume ... 27.9 Å³ per atom
Magnetic moment ... 0.000 μB per atom

=====

Most stable: three. Least stable: two.

=====

--- one ---
The following is a PBE calculation of crystalline LaPtPb2 at its relaxed geometry, from Alexandria via LeMat-Bulk.

abc: 4.4369 4.4369 11.9930
angles: 79.34 79.34 90.00
Fractional coordinates of all 8 atoms:
Pb: 0.6438 0.1250 0.2500
Pb: 0.1062 0.6250 0.2500
Pb: 0.3750 0.3562 0.7500
Pb: 0.8750 0.8938 0.7500
Pt: 0.0000 0.0000 0.0000
Pt: 0.7500 0.2500 0.5000
La: 0.5000 0.5000 0.0000
La: 0.2500 0.7500 0.5000

Values from the calculation:
Calculated volume ... 28.5 Å³ per atom
Magnetic moment ... 0.000 μB per atom

=====

--- two ---
The following is a PBE calculation of crystalline LaPtPb2 at its relaxed geometry, from Alexandria via LeMat-Bulk.

abc: 4.6189 4.6175 4.8963
angles: 90.00 90.00 90.00
Fractional coordinates of all 4 atoms:
La: 0.0000 0.5000 0.5000
Pb: 0.0000 0.0000 0.0000
Pb: 0.5000 0.5000 0.0000
Pt: 0.5000 0.0000 0.5000

Values from the calculation:
Calculated volume ... 26.1 Å³ per atom
Magnetic moment ... 0.000 μB per atom

=====

Most stable: two. Least stable: one.